Compound: Ba2NaP3Pt12
Source: Alexandria
Functional: PBE
Structure: relaxed

## Properties
Space-group type = R-3m (166)
Size of the total moment = 0.00 μB/f.u.
Crystal system = trigonal
Uncorrected energy = -5.467 eV/atom

Cell lengths 7.6829, 7.6829, 7.6829 Å; angles 67.40, 67.40, 67.40 degrees
Last column: nearest neighbours and their distance in Å.
Fractional positions:
Ba 0.1083 0.1083 0.1083  6 Pt 3.03-3.23
Ba 0.8917 0.8917 0.8917  6 Pt 3.03-3.23
Na 0.5000 0.5000 0.5000  6 Pt 2.54
P 0.0000 0.5000 0.5000  6 Pt 2.24-2.32
P 0.5000 0.0000 0.5000  6 Pt 2.24-2.32
P 0.5000 0.5000 0.0000  6 Pt 2.24-2.32
Pt 0.1291 0.6255 0.6255  1 P 2.24
Pt 0.1706 0.1706 0.5888  2 P 2.32
Pt 0.1706 0.5888 0.1706  2 P 2.32
Pt 0.3745 0.3745 0.8709  1 P 2.24
Pt 0.3745 0.8709 0.3745  1 P 2.24
Pt 0.4112 0.8294 0.8294  2 P 2.32
Pt 0.5888 0.1706 0.1706  2 P 2.32
Pt 0.6255 0.1291 0.6255  1 P 2.24
Pt 0.6255 0.6255 0.1291  1 P 2.24
Pt 0.8294 0.4112 0.8294  2 P 2.32
Pt 0.8294 0.8294 0.4112  2 P 2.32
Pt 0.8709 0.3745 0.3745  1 P 2.24